Compound: PuBeGa4
Source: Alexandria
Functional: PBE
Structure: relaxed

Cell: 4.0695 15.7225 6.4459 Å, 90.00 90.00 90.00°
Space group Cmcm (No. 63)
Inequivalent atoms, fractional coordinates:
Pu 0.0000 0.1141 0.2500 [4 per cell]
Be 0.0000 0.2270 0.7500 [4 per cell]
Ga 0.0000 0.0758 0.7500 [4 per cell]
Ga 0.0000 0.3127 0.0501 [8 per cell]
Ga 0.0000 0.5000 0.0000 [4 per cell]

Values from the calculation:
energy relative to the elements: -0.23 eV/atom
D(E_F): 38.62 states/eV per cell